The following is a PBE calculation of SrCuNi after structural relaxation, from Alexandria.

Properties
Size of the total moment, μB per formula unit: 0.000
Density of states at the Fermi level, states/eV/cell: 3.38
Electronic total energy, eV per atom: -3.837

a b c (Å): 4.2686 4.2686 7.1831
angles (deg): 90.00 90.00 90.00
Last column: nearest neighbours and their distance in Å.
Positions (direct):
Cu (0.0000, 0.5000, 0.3321)  4 Ni 2.45
Sr (0.5000, 0.0000, 0.1950)  4 Ni 3.06, 5 Cu 3.18-3.40
Sr (0.0000, 0.5000, 0.8050)  4 Ni 3.06, 5 Cu 3.18-3.40
Cu (0.5000, 0.0000, 0.6679)  4 Ni 2.45
Ni (0.0000, 0.0000, 0.5000)  4 Cu 2.45
Ni (0.5000, 0.5000, 0.5000)  4 Cu 2.45

---

The following is a PBE calculation of Sr2CuNi after structural relaxation, from Alexandria.

Properties
Size of the total moment, μB per formula unit: 0.000
Density of states at the Fermi level, states/eV/cell: 3.78
Electronic total energy, eV per atom: -3.113

a b c (Å): 3.5331 3.5331 8.5269
angles (deg): 90.00 90.00 90.01
Last column: nearest neighbours and their distance in Å.
Positions (direct):
Ni (0.5000, 0.5000, 0.6694)  4 Cu 2.61, 1 Sr 2.82
Sr (0.0000, 0.0000, 0.9120)  1 Cu 2.84
Cu (0.0000, 0.0000, 0.5795)  4 Ni 2.61, 1 Sr 2.84
Sr (0.5000, 0.5000, 0.3391)  1 Ni 2.82

---

The following is a PBE calculation of SrCu9Ni3 after structural relaxation, from Alexandria.

Properties
Size of the total moment, μB per formula unit: 0.000
Density of states at the Fermi level, states/eV/cell: 8.04
Electronic total energy, eV per atom: -4.315

a b c (Å): 4.8516 6.4762 6.5218
angles (deg): 81.75 68.16 67.31
Last column: nearest neighbours and their distance in Å.
Positions (direct):
Cu (0.6365, 0.3524, 0.3560)  6 Cu 2.48-2.67, 3 Ni 2.57-2.60
Cu (0.7335, 0.7675, 0.7647)  3 Ni 2.43-2.47, 5 Cu 2.45-2.67
Cu (0.2665, 0.2325, 0.2353)  3 Ni 2.43-2.47, 5 Cu 2.45-2.67
Cu (0.0076, 0.6476, 0.3560)  6 Cu 2.48-2.67, 3 Ni 2.57-2.60
Sr (0.0000, 0.0000, 0.0000)  14 Cu 3.01-3.24, 6 Ni 3.21-3.26
Cu (0.3635, 0.6476, 0.6440)  6 Cu 2.48-2.67, 3 Ni 2.57-2.60
Cu (0.9924, 0.3524, 0.6440)  6 Cu 2.48-2.67, 3 Ni 2.57-2.60
Cu (0.5018, 0.2325, 0.7647)  3 Ni 2.43-2.47, 5 Cu 2.45-2.67
Ni (0.5000, 0.5000, 0.0000)  10 Cu 2.43-2.60
Ni (0.0000, 0.0000, 0.5000)  2 Ni 2.43, 8 Cu 2.43-2.59
Cu (0.4982, 0.7675, 0.2353)  3 Ni 2.43-2.47, 5 Cu 2.45-2.67
Cu (0.0000, 0.5000, 0.0000)  2 Ni 2.43, 8 Cu 2.45-2.65
Ni (0.5000, 0.0000, 0.5000)  2 Ni 2.43, 8 Cu 2.43-2.59

---

The following is a PBE calculation of SrCu4Ni9 after structural relaxation, from Alexandria.

Properties
Size of the total moment, μB per formula unit: 3.323
Density of states at the Fermi level, states/eV/cell: 35.30
Electronic total energy, eV per atom: -5.007

a b c (Å): 8.0331 8.0331 8.0620
angles (deg): 119.88 119.88 90.00
Last column: nearest neighbours and their distance in Å.
Positions (direct):
Ni (0.2121, 0.7121, 0.6467)  6 Ni 2.38-2.54, 4 Cu 2.44-2.51
Ni (0.4381, 0.7046, 0.0000)  6 Ni 2.42-2.65, 4 Cu 2.48-2.56
Ni (0.5654, 0.0654, 0.3533)  6 Ni 2.38-2.54, 4 Cu 2.44-2.51
Ni (0.0619, 0.2046, 0.0000)  6 Ni 2.42-2.65, 4 Cu 2.48-2.56
Cu (0.9374, 0.4374, 0.2386)  9 Ni 2.44-2.56, 1 Cu 2.73
Cu (0.3011, 0.8011, 0.2386)  9 Ni 2.44-2.56, 1 Cu 2.73
Ni (0.7954, 0.0619, 0.0000)  6 Ni 2.42-2.65, 4 Cu 2.48-2.56
Cu (0.8011, 0.9374, 0.2386)  9 Ni 2.44-2.56, 1 Cu 2.73
Cu (0.0626, 0.5626, 0.7614)  9 Ni 2.44-2.56, 1 Cu 2.73
Ni (0.5000, 0.0000, 0.0000)  8 Ni 2.38-2.42, 4 Cu 2.48
Cu (0.5626, 0.6989, 0.7614)  9 Ni 2.44-2.56, 1 Cu 2.73
Sr (0.7500, 0.7500, 0.5000)  8 Cu 3.30, 16 Ni 3.34-3.35
Ni (0.0000, 0.5000, 0.0000)  8 Ni 2.38-2.42, 4 Cu 2.48
Cu (0.1989, 0.0626, 0.7614)  9 Ni 2.44-2.56, 1 Cu 2.73
Ni (0.5619, 0.2954, 0.0000)  6 Ni 2.42-2.65, 4 Cu 2.48-2.56
Cu (0.6989, 0.1989, 0.7614)  9 Ni 2.44-2.56, 1 Cu 2.73
Ni (0.9381, 0.7954, 0.0000)  6 Ni 2.42-2.65, 4 Cu 2.48-2.56
Ni (0.7121, 0.4346, 0.6467)  6 Ni 2.38-2.54, 4 Cu 2.44-2.51
Ni (0.7879, 0.2879, 0.3533)  6 Ni 2.38-2.54, 4 Cu 2.44-2.51
Ni (0.7046, 0.5619, 0.0000)  6 Ni 2.42-2.65, 4 Cu 2.48-2.56
Ni (0.0654, 0.7879, 0.3533)  6 Ni 2.38-2.54, 4 Cu 2.44-2.51
Cu (0.4374, 0.3011, 0.2386)  9 Ni 2.44-2.56, 1 Cu 2.73
Ni (0.9346, 0.2121, 0.6467)  6 Ni 2.38-2.54, 4 Cu 2.44-2.51
Ni (0.2954, 0.4381, 0.0000)  6 Ni 2.42-2.65, 4 Cu 2.48-2.56
Ni (0.4346, 0.9346, 0.6467)  6 Ni 2.38-2.54, 4 Cu 2.44-2.51
Sr (0.2500, 0.2500, 0.5000)  8 Cu 3.30, 16 Ni 3.34-3.35
Ni (0.2879, 0.5654, 0.3533)  6 Ni 2.38-2.54, 4 Cu 2.44-2.51
Ni (0.2046, 0.9381, 0.0000)  6 Ni 2.42-2.65, 4 Cu 2.48-2.56

---

The following is a PBE calculation of Sr3Cu2Ni after structural relaxation, from Alexandria.

Properties
Size of the total moment, μB per formula unit: 0.000
Density of states at the Fermi level, states/eV/cell: 13.06
Electronic total energy, eV per atom: -3.234

a b c (Å): 4.2995 12.5808 12.4754
angles (deg): 90.00 90.00 90.00
Last column: nearest neighbours and their distance in Å.
Positions (direct):
Sr (0.7500, 0.8721, 0.4367)  1 Ni 3.16, 4 Cu 3.23-3.36
Sr (0.2500, 0.1279, 0.5633)  1 Ni 3.16, 4 Cu 3.23-3.36
Cu (0.2500, 0.0154, 0.2890)  1 Ni 2.48
Sr (0.2500, 0.4443, 0.3873)  5 Cu 3.11-3.29, 3 Ni 3.12-3.17
Sr (0.2500, 0.6965, 0.2113)  2 Ni 3.08, 3 Cu 3.10-3.13
Ni (0.7500, 0.8713, 0.8740)  3 Cu 2.48-2.49
Cu (0.2500, 0.8186, 0.9589)  2 Ni 2.49
Ni (0.2500, 0.3713, 0.6260)  3 Cu 2.48-2.49
Cu (0.2500, 0.6814, 0.4589)  2 Ni 2.49
Sr (0.2500, 0.8035, 0.7113)  2 Ni 3.08, 3 Cu 3.10-3.13
Ni (0.7500, 0.6287, 0.3740)  3 Cu 2.48-2.49
Cu (0.7500, 0.9846, 0.7110)  1 Ni 2.48
Cu (0.7500, 0.5154, 0.2110)  1 Ni 2.48
Sr (0.2500, 0.0557, 0.8873)  5 Cu 3.11-3.29, 3 Ni 3.12-3.17
Sr (0.7500, 0.6279, 0.9367)  1 Ni 3.16, 4 Cu 3.23-3.36
Ni (0.2500, 0.1287, 0.1260)  3 Cu 2.48-2.49
Sr (0.7500, 0.5557, 0.6127)  5 Cu 3.11-3.29, 3 Ni 3.12-3.17
Sr (0.2500, 0.3721, 0.0633)  1 Ni 3.16, 4 Cu 3.23-3.36
Sr (0.7500, 0.1965, 0.2887)  2 Ni 3.08, 3 Cu 3.10-3.13
Cu (0.2500, 0.4846, 0.7890)  1 Ni 2.48
Sr (0.7500, 0.9443, 0.1127)  5 Cu 3.11-3.29, 3 Ni 3.12-3.17
Cu (0.7500, 0.3186, 0.5411)  2 Ni 2.49
Cu (0.7500, 0.1814, 0.0411)  2 Ni 2.49
Sr (0.7500, 0.3035, 0.7887)  2 Ni 3.08, 3 Cu 3.10-3.13

---

The following is a PBE calculation of SrCuNi after structural relaxation, from Alexandria.

Properties
Size of the total moment, μB per formula unit: 0.364
Density of states at the Fermi level, states/eV/cell: 3.07
Electronic total energy, eV per atom: -3.661

a b c (Å): 5.6550 5.6559 3.4113
angles (deg): 72.43 72.46 35.11
Last column: nearest neighbours and their distance in Å.
Positions (direct):
Ni (0.3817, 0.3817, 0.6183)  4 Cu 2.51-2.52
Sr (0.6673, 0.6673, 0.3327)  1 Cu 2.90, 1 Ni 2.92
Cu (0.9510, 0.9510, 0.0490)  4 Ni 2.51-2.52

---

The following is a PBE calculation of SrCu3Ni2 after structural relaxation, from Alexandria.

Properties
Size of the total moment, μB per formula unit: 0.001
Density of states at the Fermi level, states/eV/cell: 5.96
Electronic total energy, eV per atom: -4.140

a b c (Å): 5.0450 5.0450 9.5905
angles (deg): 74.75 74.75 60.00
Last column: nearest neighbours and their distance in Å.
Positions (direct):
Ni (0.5000, 0.5000, 0.0000)  4 Cu 2.49, 6 Ni 2.52
Ni (0.0000, 0.5000, 0.0000)  4 Cu 2.49, 6 Ni 2.52
Cu (0.2391, 0.2391, 0.7793)  3 Ni 2.48-2.49, 4 Cu 2.50-2.54
Cu (0.7609, 0.7609, 0.2207)  3 Ni 2.48-2.49, 4 Cu 2.50-2.54
Ni (0.5000, 0.0000, 0.0000)  4 Cu 2.49, 6 Ni 2.52
Cu (0.2391, 0.7426, 0.7793)  3 Ni 2.48-2.49, 4 Cu 2.50-2.54
Cu (0.7426, 0.2391, 0.7793)  3 Ni 2.48-2.49, 4 Cu 2.50-2.54
Cu (0.7609, 0.2574, 0.2207)  3 Ni 2.48-2.49, 4 Cu 2.50-2.54
Sr (0.7971, 0.7971, 0.6087)  6 Cu 2.97
Sr (0.2029, 0.2029, 0.3913)  6 Cu 2.97
Ni (0.0000, 0.0000, 0.0000)  6 Cu 2.48, 6 Ni 2.52
Cu (0.2574, 0.7609, 0.2207)  3 Ni 2.48-2.49, 4 Cu 2.50-2.54

---

The following is a PBE calculation of Sr2CuNi after structural relaxation, from Alexandria.

Properties
Size of the total moment, μB per formula unit: 0.000
Density of states at the Fermi level, states/eV/cell: 3.02
Electronic total energy, eV per atom: -3.401

a b c (Å): 4.2318 4.2310 8.1558
angles (deg): 74.89 74.96 59.99
Last column: nearest neighbours and their distance in Å.
Positions (direct):
Sr (0.8875, 0.6508, 0.5741)  3 Cu 3.14-3.15, 3 Ni 3.15
Sr (0.7179, 0.4799, 0.0844)  3 Ni 3.14, 3 Cu 3.15
Ni (0.1355, 0.8987, 0.8304)  3 Cu 2.44
Cu (0.4694, 0.2326, 0.8285)  3 Ni 2.44

---

The following is a PBE calculation of Sr2CuNi after structural relaxation, from Alexandria.

Properties
Size of the total moment, μB per formula unit: 0.000
Density of states at the Fermi level, states/eV/cell: 1.89
Electronic total energy, eV per atom: -3.045

a b c (Å): 6.2320 6.2320 6.2320
angles (deg): 139.14 139.14 59.16
Last column: nearest neighbours and their distance in Å.
Positions (direct):
Cu (0.5000, 0.5000, 0.0000)  4 Sr 3.08
Sr (0.0000, 0.0000, 0.0000)  4 Cu 3.08
Sr (0.2500, 0.7500, 0.5000)  4 Ni 3.08
Ni (0.7500, 0.2500, 0.5000)  4 Sr 3.08

---

The following is a PBE calculation of SrCu8Ni4 after structural relaxation, from Alexandria.

Properties
Size of the total moment, μB per formula unit: 0.000
Density of states at the Fermi level, states/eV/cell: 9.30
Electronic total energy, eV per atom: -4.443

a b c (Å): 4.8335 6.4641 6.4641
angles (deg): 81.96 68.05 68.05
Last column: nearest neighbours and their distance in Å.
Positions (direct):
Cu (0.5000, 0.2340, 0.7660)  4 Ni 2.44, 4 Cu 2.58-2.62
Ni (0.5000, 0.5000, 0.0000)  2 Ni 2.42, 8 Cu 2.44-2.59
Sr (0.0000, 0.0000, 0.0000)  12 Cu 3.00-3.13, 8 Ni 3.23
Cu (0.2660, 0.2340, 0.2340)  4 Ni 2.44, 4 Cu 2.58-2.62
Cu (0.5000, 0.7660, 0.2340)  4 Ni 2.44, 4 Cu 2.58-2.62
Cu (0.6466, 0.3534, 0.3534)  5 Cu 2.49-2.62, 4 Ni 2.59
Cu (0.7340, 0.7660, 0.7660)  4 Ni 2.44, 4 Cu 2.58-2.62
Cu (0.0000, 0.6466, 0.3534)  5 Cu 2.49-2.62, 4 Ni 2.59
Ni (0.0000, 0.0000, 0.5000)  2 Ni 2.42, 8 Cu 2.44-2.59
Ni (0.0000, 0.5000, 0.0000)  2 Ni 2.42, 8 Cu 2.44-2.59
Cu (0.0000, 0.3534, 0.6466)  5 Cu 2.49-2.62, 4 Ni 2.59
Cu (0.3534, 0.6466, 0.6466)  5 Cu 2.49-2.62, 4 Ni 2.59
Ni (0.5000, 0.0000, 0.5000)  2 Ni 2.42, 8 Cu 2.44-2.59

---

The following is a PBE calculation of SrCuNi after structural relaxation, from Alexandria.

Properties
Size of the total moment, μB per formula unit: 0.000
Density of states at the Fermi level, states/eV/cell: 1.92
Electronic total energy, eV per atom: -2.999

a b c (Å): 4.7803 4.7803 4.7803
angles (deg): 60.00 60.00 60.00
Last column: nearest neighbours and their distance in Å.
Positions (direct):
Sr (0.7500, 0.7500, 0.7500)  4 Ni 2.93, 4 Cu 2.93
Cu (0.0000, 0.0000, 0.0000)  4 Sr 2.93
Ni (0.5000, 0.5000, 0.5000)  4 Sr 2.93

---

The following is a PBE calculation of Sr2CuNi after structural relaxation, from Alexandria.

Properties
Size of the total moment, μB per formula unit: 0.000
Density of states at the Fermi level, states/eV/cell: 4.07
Electronic total energy, eV per atom: -2.911

a b c (Å): 5.0781 5.0781 5.0781
angles (deg): 60.00 60.00 60.00
Last column: nearest neighbours and their distance in Å.
Positions (direct):
Sr (0.0000, 0.0000, 0.0000)  4 Sr 3.11, 4 Ni 3.11
Ni (0.7500, 0.7500, 0.7500)  4 Cu 3.11, 4 Sr 3.11
Sr (0.2500, 0.2500, 0.2500)  4 Cu 3.11, 4 Sr 3.11
Cu (0.5000, 0.5000, 0.5000)  4 Ni 3.11, 4 Sr 3.11